NdY3Th2Sb6 | PBE | relaxed

Structure (CIF):
```
data_NdY3Th2Sb6
_chemical_formula_sum 'Nd2 Y6 Th4 Sb12'
_symmetry_space_group_name_H-M 'C 1 2/m 1'
_symmetry_Int_Tables_number 12
_cell_length_a 19.381
_cell_length_b 4.463
_cell_length_c 8.886
_cell_angle_alpha 90.00
_cell_angle_beta 102.98
_cell_angle_gamma 90.00
loop_
_symmetry_equiv_pos_as_xyz
'x,y,z'
'-x,-y,-z'
'-x,y,-z'
'x,-y,z'
'x+1/2,y+1/2,z'
'-x+1/2,-y+1/2,-z'
'-x+1/2,y+1/2,-z'
'x+1/2,-y+1/2,z'
loop_
_atom_site_label
_atom_site_type_symbol
_atom_site_fract_x
_atom_site_fract_y
_atom_site_fract_z
Nd1 Nd 0.000 0.000 0.000
Y1 Y 0.000 0.000 0.500
Y2 Y 0.166 0.500 0.834
Th1 Th 0.165 0.500 0.331
Sb1 Sb 0.002 0.500 0.745
Sb2 Sb 0.165 0.000 0.588
Sb3 Sb 0.169 0.000 0.079
```

Calculated values
Density, g/cm3: 7.12
Magnetic moment, μB per formula unit: 0.0
DFT total energy, eV/atom: -6.404
Energy relative to the elements, uncorrected, eV/atom: -1.09
DOS(E_F), states/eV/f.u.: 4.6


Nd2YTh3Sb6 | PBE | relaxed

Structure (CIF):
```
data_Nd2YTh3Sb6
_chemical_formula_sum 'Nd4 Y2 Th6 Sb12'
_symmetry_space_group_name_H-M 'C 1 2/m 1'
_symmetry_Int_Tables_number 12
_cell_length_a 19.589
_cell_length_b 4.500
_cell_length_c 8.969
_cell_angle_alpha 90.00
_cell_angle_beta 103.14
_cell_angle_gamma 90.00
loop_
_symmetry_equiv_pos_as_xyz
'x,y,z'
'-x,-y,-z'
'-x,y,-z'
'x,-y,z'
'x+1/2,y+1/2,z'
'-x+1/2,-y+1/2,-z'
'-x+1/2,y+1/2,-z'
'x+1/2,-y+1/2,z'
loop_
_atom_site_label
_atom_site_type_symbol
_atom_site_fract_x
_atom_site_fract_y
_atom_site_fract_z
Nd1 Nd 0.166 0.000 0.333
Y1 Y 0.000 0.500 0.000
Th1 Th 0.000 0.500 0.500
Th2 Th 0.168 0.000 0.834
Sb1 Sb 0.001 0.000 0.756
Sb2 Sb 0.164 0.500 0.081
Sb3 Sb 0.166 0.500 0.584
```

Calculated values
Density, g/cm3: 7.78
Magnetic moment, μB per formula unit: 0.0
DFT total energy, eV/atom: -6.302
Energy relative to the elements, uncorrected, eV/atom: -1.05
DOS(E_F), states/eV/f.u.: 6.2


NdYTh2Sb5 | PBE | relaxed

Structure (CIF):
```
data_NdYTh2Sb5
_chemical_formula_sum 'Nd1 Y1 Th2 Sb5'
_symmetry_space_group_name_H-M 'P 4/m m m'
_symmetry_Int_Tables_number 123
_symmetry_space_group_name_Hall '-P 4 2'
_cell_length_a 5.369
_cell_length_b 5.369
_cell_length_c 11.535
_cell_angle_alpha 90.00
_cell_angle_beta 90.00
_cell_angle_gamma 90.00
loop_
_atom_site_label
_atom_site_type_symbol
_atom_site_fract_x
_atom_site_fract_y
_atom_site_fract_z
Nd1 Nd 0.000 0.000 0.000
Y1 Y 0.000 0.000 0.500
Th1 Th 0.500 0.500 0.200
Sb1 Sb 0.000 0.000 0.255
Sb2 Sb 0.000 0.500 0.000
Sb3 Sb 0.500 0.500 0.500
```

Calculated values
Density, g/cm3: 6.52
Magnetic moment, μB per formula unit: 0.0
DFT total energy, eV/atom: -5.249
Energy relative to the elements, uncorrected, eV/atom: -0.06
DOS(E_F), states/eV/f.u.: 4.5


NdTiSb2 | PBE | relaxed

Structure (CIF):
```
data_NdTiSb2
_chemical_formula_sum 'Nd3 Ti3 Sb6'
_symmetry_space_group_name_H-M 'R -3 m'
_symmetry_Int_Tables_number 166
_symmetry_space_group_name_Hall '-R 3 2"'
_cell_length_a 3.6589
_cell_length_b 3.6589
_cell_length_c 30.2395
_cell_angle_alpha 90.00
_cell_angle_beta 90.00
_cell_angle_gamma 120.00
loop_
_atom_site_label
_atom_site_type_symbol
_atom_site_fract_x
_atom_site_fract_y
_atom_site_fract_z
Nd1 Nd 0.0000 0.0000 0.0000
Ti1 Ti 0.0000 0.0000 0.5000
Sb1 Sb 0.0000 0.0000 0.1051
```

Calculated values
Density, g/cm3: 6.19
Magnetic moment, μB per formula unit: 0.0
DFT total energy, eV/atom: -5.361
Energy relative to the elements, uncorrected, eV/atom: -0.13
Excess energy over the best structure of this formula in the dataset, kcal/mol of atoms: 7.85
DOS(E_F), states/eV/f.u.: 3.7